[1]
# TmCuSi2 | Alexandria via LeMat-Bulk | PBE | relaxed
# Total moment (μB per atom): 0.00
# E_tot (eV for the cell shown): -20.42
# Formation energy (no corrections) (eV/atom): -0.25
# DOS at the Fermi energy (states/eV per cell): 1.35
# Space-group type: Cmmm
data_TmCuSi2
_cell_length_a 4.667
_cell_length_b 4.667
_cell_length_c 3.785
_cell_angle_alpha 90.00
_cell_angle_beta 90.00
_cell_angle_gamma 115.52
_symmetry_space_group_name_H-M 'P 1'
_symmetry_Int_Tables_number 1
_symmetry_space_group_name_Hall 'P 1'
loop_
_atom_site_label
_atom_site_type_symbol
_atom_site_fract_x
_atom_site_fract_y
_atom_site_fract_z
_atom_site_occupancy
Tm1 Tm 0.000 0.000 0.000 1
Cu1 Cu 0.500 0.500 0.500 1
Si1 Si 0.000 0.500 0.500 1
Si2 Si 0.500 0.000 0.500 1


[2]
# Tm3CuSi | Alexandria via LeMat-Bulk | PBE | relaxed
# Total moment (μB per atom): 0.00
# E_tot (eV for the cell shown): -49.56
# Formation energy (no corrections) (eV/atom): -0.37
# DOS at the Fermi energy (states/eV per cell): 8.86
# Space-group type: C2/m
data_Tm3CuSi
_cell_length_a 7.078
_cell_length_b 7.078
_cell_length_c 8.110
_cell_angle_alpha 93.55
_cell_angle_beta 93.55
_cell_angle_gamma 34.58
_symmetry_space_group_name_H-M 'P 1'
_symmetry_Int_Tables_number 1
_symmetry_space_group_name_Hall 'P 1'
loop_
_atom_site_label
_atom_site_type_symbol
_atom_site_fract_x
_atom_site_fract_y
_atom_site_fract_z
_atom_site_occupancy
Tm1 Tm 0.051 0.051 0.306 1
Tm2 Tm 0.236 0.236 0.679 1
Tm3 Tm 0.396 0.396 0.074 1
Tm4 Tm 0.604 0.604 0.926 1
Tm5 Tm 0.764 0.764 0.321 1
Tm6 Tm 0.949 0.949 0.694 1
Cu1 Cu 0.202 0.202 0.067 1
Cu2 Cu 0.798 0.798 0.933 1
Si1 Si 0.411 0.411 0.440 1
Si2 Si 0.589 0.589 0.560 1


[3]
# Tm2Cu3Si2 | Alexandria via LeMat-Bulk | PBE | relaxed
# Total moment (μB per atom): 0.00
# E_tot (eV for the cell shown): -33.77
# Formation energy (no corrections) (eV/atom): -0.24
# DOS at the Fermi energy (states/eV per cell): 2.42
# Space-group type: Cmmm
data_Tm2Cu3Si2
_cell_length_a 8.879
_cell_length_b 8.879
_cell_length_c 3.939
_cell_angle_alpha 90.00
_cell_angle_beta 90.00
_cell_angle_gamma 156.41
_symmetry_space_group_name_H-M 'P 1'
_symmetry_Int_Tables_number 1
_symmetry_space_group_name_Hall 'P 1'
loop_
_atom_site_label
_atom_site_type_symbol
_atom_site_fract_x
_atom_site_fract_y
_atom_site_fract_z
_atom_site_occupancy
Tm1 Tm 0.160 0.840 0.000 1
Tm2 Tm 0.840 0.160 0.000 1
Cu1 Cu 0.000 0.000 0.000 1
Cu2 Cu 0.432 0.568 0.500 1
Cu3 Cu 0.568 0.432 0.500 1
Si1 Si 0.293 0.707 0.500 1
Si2 Si 0.707 0.293 0.500 1


[4]
# Tm2CuSi | Alexandria via LeMat-Bulk | PBE | relaxed
# Total moment (μB per atom): 0.00
# E_tot (eV for the cell shown): -17.45
# Formation energy (no corrections) (eV/atom): 0.25
# DOS at the Fermi energy (states/eV per cell): 2.45
# Space-group type: R-3m
data_Tm2CuSi
_cell_length_a 9.763
_cell_length_b 9.763
_cell_length_c 9.763
_cell_angle_alpha 20.29
_cell_angle_beta 20.29
_cell_angle_gamma 20.29
_symmetry_space_group_name_H-M 'P 1'
_symmetry_Int_Tables_number 1
_symmetry_space_group_name_Hall 'P 1'
loop_
_atom_site_label
_atom_site_type_symbol
_atom_site_fract_x
_atom_site_fract_y
_atom_site_fract_z
_atom_site_occupancy
Tm1 Tm 0.097 0.097 0.097 1
Tm2 Tm 0.903 0.903 0.903 1
Cu1 Cu 0.000 0.000 0.000 1
Si1 Si 0.500 0.500 0.500 1


[5]
# TmCu3Si | Alexandria via LeMat-Bulk | PBE | relaxed
# Total moment (μB per atom): 0.00
# E_tot (eV for the cell shown): -43.06
# Formation energy (no corrections) (eV/atom): 0.13
# DOS at the Fermi energy (states/eV per cell): 4.34
# Space-group type: I-4m2
data_TmCu3Si
_cell_length_a 10.594
_cell_length_b 10.594
_cell_length_c 10.594
_cell_angle_alpha 155.68
_cell_angle_beta 155.68
_cell_angle_gamma 34.67
_symmetry_space_group_name_H-M 'P 1'
_symmetry_Int_Tables_number 1
_symmetry_space_group_name_Hall 'P 1'
loop_
_atom_site_label
_atom_site_type_symbol
_atom_site_fract_x
_atom_site_fract_y
_atom_site_fract_z
_atom_site_occupancy
Tm1 Tm 0.000 0.000 0.000 1
Tm2 Tm 0.750 0.250 0.500 1
Cu1 Cu 0.104 0.604 0.500 1
Cu2 Cu 0.374 0.124 0.250 1
Cu3 Cu 0.396 0.896 0.500 1
Cu4 Cu 0.874 0.124 0.750 1
Cu5 Cu 0.876 0.126 0.250 1
Cu6 Cu 0.876 0.626 0.750 1
Si1 Si 0.355 0.355 0.000 1
Si2 Si 0.645 0.645 0.000 1


[6]
# TmCu5Si | Alexandria via LeMat-Bulk | PBE | relaxed
# Total moment (μB per atom): 0.00
# E_tot (eV for the cell shown): -128.36
# Formation energy (no corrections) (eV/atom): -0.25
# DOS at the Fermi energy (states/eV per cell): 7.70
# Space-group type: Pnma
data_TmCu5Si
_cell_length_a 7.926
_cell_length_b 4.957
_cell_length_c 10.040
_cell_angle_alpha 90.00
_cell_angle_beta 90.00
_cell_angle_gamma 90.00
_symmetry_space_group_name_H-M 'P 1'
_symmetry_Int_Tables_number 1
_symmetry_space_group_name_Hall 'P 1'
loop_
_atom_site_label
_atom_site_type_symbol
_atom_site_fract_x
_atom_site_fract_y
_atom_site_fract_z
_atom_site_occupancy
Tm1 Tm 0.246 0.250 0.063 1
Tm2 Tm 0.254 0.750 0.563 1
Tm3 Tm 0.746 0.250 0.437 1
Tm4 Tm 0.754 0.750 0.937 1
Cu1 Cu 0.065 0.008 0.303 1
Cu2 Cu 0.065 0.492 0.303 1
Cu3 Cu 0.068 0.750 0.081 1
Cu4 Cu 0.095 0.250 0.516 1
Cu5 Cu 0.181 0.250 0.759 1
Cu6 Cu 0.319 0.750 0.259 1
Cu7 Cu 0.405 0.750 0.016 1
Cu8 Cu 0.432 0.250 0.581 1
Cu9 Cu 0.435 0.508 0.803 1
Cu10 Cu 0.435 0.992 0.803 1
Cu11 Cu 0.565 0.008 0.197 1
Cu12 Cu 0.565 0.492 0.197 1
Cu13 Cu 0.568 0.750 0.419 1
Cu14 Cu 0.595 0.250 0.984 1
Cu15 Cu 0.681 0.250 0.741 1
Cu16 Cu 0.819 0.750 0.241 1
Cu17 Cu 0.905 0.750 0.484 1
Cu18 Cu 0.932 0.250 0.919 1
Cu19 Cu 0.935 0.508 0.697 1
Cu20 Cu 0.935 0.992 0.697 1
Si1 Si 0.151 0.750 0.854 1
Si2 Si 0.349 0.250 0.354 1
Si3 Si 0.651 0.750 0.646 1
Si4 Si 0.849 0.250 0.146 1


[7]
# TmCu6Si2 | Alexandria via LeMat-Bulk | PBE | relaxed
# Total moment (μB per atom): 0.00
# E_tot (eV for the cell shown): -42.42
# Formation energy (no corrections) (eV/atom): -0.28
# DOS at the Fermi energy (states/eV per cell): 4.56
# Space-group type: P4/mmm
data_TmCu6Si2
_cell_length_a 3.972
_cell_length_b 3.972
_cell_length_c 7.971
_cell_angle_alpha 90.00
_cell_angle_beta 90.00
_cell_angle_gamma 90.00
_symmetry_space_group_name_H-M 'P 1'
_symmetry_Int_Tables_number 1
_symmetry_space_group_name_Hall 'P 1'
loop_
_atom_site_label
_atom_site_type_symbol
_atom_site_fract_x
_atom_site_fract_y
_atom_site_fract_z
_atom_site_occupancy
Tm1 Tm 0.000 0.000 0.000 1
Cu1 Cu 0.000 0.000 0.500 1
Cu2 Cu 0.000 0.500 0.303 1
Cu3 Cu 0.000 0.500 0.697 1
Cu4 Cu 0.500 0.000 0.303 1
Cu5 Cu 0.500 0.000 0.697 1
Cu6 Cu 0.500 0.500 0.500 1
Si1 Si 0.500 0.500 0.146 1
Si2 Si 0.500 0.500 0.854 1


[8]
# Tm2CuSi | Alexandria via LeMat-Bulk | PBE | relaxed
# Total moment (μB per atom): 0.00
# E_tot (eV for the cell shown): -41.29
# Formation energy (no corrections) (eV/atom): -0.55
# DOS at the Fermi energy (states/eV per cell): 7.42
# Space-group type: P2_1/m
data_Tm2CuSi
_cell_length_a 5.726
_cell_length_b 4.065
_cell_length_c 7.727
_cell_angle_alpha 90.00
_cell_angle_beta 110.42
_cell_angle_gamma 90.00
_symmetry_space_group_name_H-M 'P 1'
_symmetry_Int_Tables_number 1
_symmetry_space_group_name_Hall 'P 1'
loop_
_atom_site_label
_atom_site_type_symbol
_atom_site_fract_x
_atom_site_fract_y
_atom_site_fract_z
_atom_site_occupancy
Tm1 Tm 0.211 0.250 0.417 1
Tm2 Tm 0.215 0.250 0.937 1
Tm3 Tm 0.785 0.750 0.063 1
Tm4 Tm 0.789 0.750 0.583 1
Cu1 Cu 0.374 0.750 0.219 1
Cu2 Cu 0.626 0.250 0.781 1
Si1 Si 0.346 0.750 0.711 1
Si2 Si 0.654 0.250 0.289 1


[9]
# TmCu3Si2 | Alexandria via LeMat-Bulk | PBE | relaxed
# Total moment (μB per atom): 0.00
# E_tot (eV for the cell shown): -60.30
# Formation energy (no corrections) (eV/atom): -0.42
# DOS at the Fermi energy (states/eV per cell): 4.69
# Space-group type: C2/m
data_TmCu3Si2
_cell_length_a 7.520
_cell_length_b 7.520
_cell_length_c 7.124
_cell_angle_alpha 114.60
_cell_angle_beta 114.60
_cell_angle_gamma 30.07
_symmetry_space_group_name_H-M 'P 1'
_symmetry_Int_Tables_number 1
_symmetry_space_group_name_Hall 'P 1'
loop_
_atom_site_label
_atom_site_type_symbol
_atom_site_fract_x
_atom_site_fract_y
_atom_site_fract_z
_atom_site_occupancy
Tm1 Tm 0.150 0.150 0.069 1
Tm2 Tm 0.850 0.850 0.931 1
Cu1 Cu 0.038 0.038 0.371 1
Cu2 Cu 0.315 0.315 0.550 1
Cu3 Cu 0.400 0.400 0.310 1
Cu4 Cu 0.600 0.600 0.690 1
Cu5 Cu 0.685 0.685 0.450 1
Cu6 Cu 0.962 0.962 0.629 1
Si1 Si 0.193 0.193 0.691 1
Si2 Si 0.481 0.481 0.827 1
Si3 Si 0.519 0.519 0.173 1
Si4 Si 0.807 0.807 0.309 1